(1)
The following is a DFT calculation (PBE) of crystalline Fe3Tc at its relaxed geometry.

Cell: 8.535 2.594 4.429 Å, 90.00 100.38 90.00°
Space group C2/m (No. 12)
One atom of each set of equivalent atoms:
Fe1 0.000 0.000 0.000 (multiplicity 2)
Fe2 0.246 0.500 0.245 (multiplicity 4)
Tc1 0.000 0.500 0.500 (multiplicity 2)

Computed properties:
- ΔE_f: 0.148 eV/atom
- Theoretical density: 9.1 Mg/m³
- Electronic total energy: -70.32 eV for the cell shown
- V: 12.1 Å³/atom
- Density of states at the Fermi level: 10.5 states/eV per cell



(2)
The following is a DFT calculation (PBE) of crystalline FeTc2 at its relaxed geometry.

Cell: 2.6995 2.6995 6.4994 Å, 90.00 90.00 120.00°
Space group P-3m1 (No. 164)
One atom of each set of equivalent atoms:
Fe1 0.0000 0.0000 0.0000 (multiplicity 1)
Tc1 0.3333 0.6667 0.3292 (multiplicity 2)

Computed properties:
- ΔE_f: 0.141 eV/atom
- Theoretical density: 10.2 Mg/m³
- Electronic total energy: -28.77 eV for the cell shown
- V: 13.7 Å³/atom
- Density of states at the Fermi level: 3.6 states/eV per cell



(3)
The following is a DFT calculation (PBE) of crystalline Fe24Tc5 at its relaxed geometry.

Cell: 8.759 8.759 8.759 Å, 90.00 90.00 90.00°
Space group I-43m (No. 217)
One atom of each set of equivalent atoms:
Fe1 0.040 0.362 0.362 (multiplicity 24)
Fe2 0.093 0.093 0.281 (multiplicity 24)
Tc1 0.000 0.000 0.000 (multiplicity 2)
Tc2 0.180 0.180 0.820 (multiplicity 8)

Computed properties:
- ΔE_f: 0.088 eV/atom
- Theoretical density: 9.0 Mg/m³
- Electronic total energy: -504.74 eV for the cell shown
- V: 11.6 Å³/atom
- Density of states at the Fermi level: 85.6 states/eV per cell



(4)
The following is a DFT calculation (PBE) of crystalline Fe3Tc at its relaxed geometry.

Cell: 2.958 4.131 8.185 Å, 90.00 90.00 90.00°
Space group Cmmm (No. 65)
One atom of each set of equivalent atoms:
Fe1 0.000 0.000 0.000 (multiplicity 2)
Fe2 0.000 0.500 0.240 (multiplicity 4)
Tc1 0.000 0.000 0.500 (multiplicity 2)

Computed properties:
- ΔE_f: 0.074 eV/atom
- Theoretical density: 8.8 Mg/m³
- Electronic total energy: -70.92 eV for the cell shown
- V: 12.5 Å³/atom
- Density of states at the Fermi level: 5.7 states/eV per cell



(5)
The following is a DFT calculation (PBE) of crystalline FeTc2 at its relaxed geometry.

Cell: 4.1595 4.1595 5.2916 Å, 90.00 90.00 120.00°
Space group P6_3/mmc (No. 194)
One atom of each set of equivalent atoms:
Fe1 0.3333 0.6667 0.2500 (multiplicity 2)
Tc1 0.0000 0.0000 0.0000 (multiplicity 2)
Tc2 0.3333 0.6667 0.7500 (multiplicity 2)

Computed properties:
- ΔE_f: 0.058 eV/atom
- Theoretical density: 10.5 Mg/m³
- Electronic total energy: -58.04 eV for the cell shown
- V: 13.2 Å³/atom
- Density of states at the Fermi level: 5.4 states/eV per cell



(6)
The following is a DFT calculation (PBE) of crystalline Fe3Tc5 at its relaxed geometry.

Cell: 7.522 7.553 3.734 Å, 90.00 90.00 90.00°
Space group Cmmm (No. 65)
One atom of each set of equivalent atoms:
Fe1 0.000 0.000 0.000 (multiplicity 2)
Fe2 0.243 0.000 0.500 (multiplicity 4)
Tc1 0.000 0.241 0.500 (multiplicity 4)
Tc2 0.000 0.500 0.000 (multiplicity 2)
Tc3 0.250 0.250 0.000 (multiplicity 4)

Computed properties:
- ΔE_f: 0.103 eV/atom
- Theoretical density: 10.3 Mg/m³
- ΔE to the lowest computed polymorph: 0 meV/atom
- Electronic total energy: -152.78 eV for the cell shown
- V: 13.3 Å³/atom
- Density of states at the Fermi level: 19.6 states/eV per cell



Repeat the second record exactly.
The following is a DFT calculation (PBE) of crystalline FeTc2 at its relaxed geometry.

Cell: 2.6995 2.6995 6.4994 Å, 90.00 90.00 120.00°
Space group P-3m1 (No. 164)
One atom of each set of equivalent atoms:
Fe1 0.0000 0.0000 0.0000 (multiplicity 1)
Tc1 0.3333 0.6667 0.3292 (multiplicity 2)

Computed properties:
- ΔE_f: 0.141 eV/atom
- Theoretical density: 10.2 Mg/m³
- Electronic total energy: -28.77 eV for the cell shown
- V: 13.7 Å³/atom
- Density of states at the Fermi level: 3.6 states/eV per cell



The lowest electronic total energy belongs to which entry?
Fe24Tc5



What did the sixth record say?
The following is a DFT calculation (PBE) of crystalline Fe3Tc5 at its relaxed geometry.

Cell: 7.522 7.553 3.734 Å, 90.00 90.00 90.00°
Space group Cmmm (No. 65)
One atom of each set of equivalent atoms:
Fe1 0.000 0.000 0.000 (multiplicity 2)
Fe2 0.243 0.000 0.500 (multiplicity 4)
Tc1 0.000 0.241 0.500 (multiplicity 4)
Tc2 0.000 0.500 0.000 (multiplicity 2)
Tc3 0.250 0.250 0.000 (multiplicity 4)

Computed properties:
- ΔE_f: 0.103 eV/atom
- Theoretical density: 10.3 Mg/m³
- ΔE to the lowest computed polymorph: 0 meV/atom
- Electronic total energy: -152.78 eV for the cell shown
- V: 13.3 Å³/atom
- Density of states at the Fermi level: 19.6 states/eV per cell